# 1
The following is a GGA-PBE calculation of crystalline NbGeAs2 at its relaxed geometry, from Alexandria.

Summary:
Total magnetization: 0.00 μB/cell
Raw total energy: -6.071 eV/atom

Cell lengths 5.097, 4.631, 6.897 Å; angles 90.00, 111.39, 90.00 degrees
Sites, in units of the cell vectors:
Nb 0.000 0.000 0.000
Nb 0.115 0.500 0.681
Ge 0.256 0.000 0.446
Ge 0.337 0.500 0.115
As 0.426 0.000 0.869
As 0.689 0.500 0.809
As 0.811 0.000 0.573
As 0.895 0.500 0.239



# 2
The following is a GGA-PBE calculation of crystalline Sc2Be at its relaxed geometry, from Alexandria.

Summary:
Total magnetization: 0.00 μB/cell
Polymorph energy (0 for the lowest one): 311.1 meV/atom

Cell lengths 5.867, 6.755, 3.171 Å; angles 90.00, 90.00, 90.00 degrees
Sites, in units of the cell vectors:
Sc 0.208 0.167 0.000
Sc 0.292 0.667 0.500
Sc 0.708 0.333 0.500
Sc 0.792 0.833 0.000
Be 0.000 0.500 0.000
Be 0.500 0.000 0.500



# 3
The following is a GGA-PBE calculation of crystalline B2C at its relaxed geometry, from Alexandria.

Summary:
Total magnetization: 0.00 μB/cell
Polymorph energy (0 for the lowest one): 424.9 meV/atom

Cell lengths 2.667, 2.667, 15.079 Å; angles 90.00, 90.00, 120.00 degrees
Sites, in units of the cell vectors:
B 0.000 0.000 0.000
B 0.000 0.000 0.110
B 0.000 0.000 0.505
B 0.000 0.000 0.617
B 0.333 0.667 0.136
B 0.333 0.667 0.343
B 0.333 0.667 0.688
B 0.667 0.333 0.932
C 0.333 0.667 0.793
C 0.667 0.333 0.356
C 0.667 0.333 0.460
C 0.667 0.333 0.827



# 4
The following is a GGA-PBE calculation of crystalline BaGd2Ga at its relaxed geometry, from Alexandria.

Summary:
Total magnetization: 14.86 μB/cell
Polymorph energy (0 for the lowest one): 177.8 meV/atom

Cell lengths 11.709, 11.709, 11.709 Å; angles 18.33, 18.33, 18.33 degrees
Sites, in units of the cell vectors:
Ba 0.000 0.000 0.000
Gd 0.107 0.107 0.107
Gd 0.893 0.893 0.893
Ga 0.500 0.500 0.500



# 5
The following is a GGA-PBE calculation of crystalline RbAgRu3 at its relaxed geometry, from Alexandria.

Summary:
Total magnetization: 6.92 μB/cell
Polymorph energy (0 for the lowest one): 0.0 meV/atom

Cell lengths 5.067, 5.067, 5.067 Å; angles 90.00, 90.00, 90.00 degrees
Sites, in units of the cell vectors:
Rb 0.000 0.000 0.000
Ag 0.500 0.500 0.500
Ru 0.000 0.500 0.500
Ru 0.500 0.000 0.500
Ru 0.500 0.500 0.000



# 6
The following is a GGA-PBE calculation of crystalline ZnW at its relaxed geometry, from Alexandria.

Summary:
Total magnetization: 0.37 μB/cell
Polymorph energy (0 for the lowest one): 2517.3 meV/atom

Cell lengths 6.905, 6.905, 6.905 Å; angles 90.00, 90.00, 90.00 degrees
Sites, in units of the cell vectors:
Zn 0.000 0.250 0.500
Zn 0.000 0.750 0.500
Zn 0.250 0.500 0.000
Zn 0.500 0.000 0.250
Zn 0.500 0.000 0.750
Zn 0.750 0.500 0.000
W 0.000 0.500 0.250
W 0.000 0.500 0.750
W 0.250 0.000 0.500
W 0.500 0.250 0.000
W 0.500 0.750 0.000
W 0.750 0.000 0.500



# 7
The following is a GGA-PBE calculation of crystalline LuZnRh2 at its relaxed geometry, from Alexandria.

Summary:
Total magnetization: 0.00 μB/cell
Raw total energy: -5.870 eV/atom

Cell lengths 4.505, 4.505, 4.505 Å; angles 60.00, 60.00, 60.00 degrees
Sites, in units of the cell vectors:
Lu 0.000 0.000 0.000
Zn 0.500 0.500 0.500
Rh 0.250 0.250 0.250
Rh 0.750 0.750 0.750



# 8
The following is a GGA-PBE calculation of crystalline Sm12Tm3Th at its relaxed geometry, from Alexandria.

Summary:
Total magnetization: 0.00 μB/cell
Raw total energy: -4.814 eV/atom

Cell lengths 5.091, 5.091, 20.341 Å; angles 90.00, 90.00, 90.00 degrees
Sites, in units of the cell vectors:
Sm 0.000 0.000 0.000
Sm 0.000 0.000 0.247
Sm 0.000 0.000 0.500
Sm 0.000 0.000 0.753
Sm 0.000 0.500 0.125
Sm 0.000 0.500 0.376
Sm 0.000 0.500 0.624
Sm 0.000 0.500 0.875
Sm 0.500 0.000 0.125
Sm 0.500 0.000 0.376
Sm 0.500 0.000 0.624
Sm 0.500 0.000 0.875
Tm 0.500 0.500 0.000
Tm 0.500 0.500 0.249
Tm 0.500 0.500 0.751
Th 0.500 0.500 0.500



# 9
The following is a GGA-PBE calculation of crystalline Li2FeRh at its relaxed geometry, from Alexandria.

Summary:
Total magnetization: 3.20 μB/cell
Raw total energy: -4.893 eV/atom

Cell lengths 4.898, 4.898, 4.898 Å; angles 137.50, 137.50, 61.66 degrees
Sites, in units of the cell vectors:
Li 0.250 0.750 0.500
Li 0.750 0.250 0.500
Fe 0.000 0.000 0.000
Rh 0.500 0.500 0.000



# 10
The following is a GGA-PBE calculation of crystalline Sc2Al4Ir at its relaxed geometry, from Alexandria.

Summary:
Total magnetization: 0.00 μB/cell
Raw total energy: -5.295 eV/atom

Cell lengths 7.855, 7.855, 7.855 Å; angles 145.85, 145.85, 49.08 degrees
Sites, in units of the cell vectors:
Sc 0.135 0.135 0.000
Sc 0.865 0.865 0.000
Al 0.000 0.500 0.500
Al 0.327 0.327 0.000
Al 0.500 0.000 0.500
Al 0.673 0.673 0.000
Ir 0.500 0.500 0.000



# 11
The following is a GGA-PBE calculation of crystalline Cs2Li2Zn at its relaxed geometry, from Alexandria.

Summary:
Total magnetization: 0.00 μB/cell
Raw total energy: -1.117 eV/atom

Cell lengths 8.126, 8.126, 6.495 Å; angles 90.00, 90.00, 90.00 degrees
Sites, in units of the cell vectors:
Cs 0.190 0.310 0.000
Cs 0.310 0.810 0.000
Cs 0.690 0.190 0.000
Cs 0.810 0.690 0.000
Li 0.147 0.647 0.500
Li 0.353 0.147 0.500
Li 0.647 0.853 0.500
Li 0.853 0.353 0.500
Zn 0.000 0.000 0.500
Zn 0.500 0.500 0.500



# 12
The following is a GGA-PBE calculation of crystalline RhCN2F at its relaxed geometry, from Alexandria.

Summary:
Total magnetization: 0.65 μB/cell
Polymorph energy (0 for the lowest one): 194.9 meV/atom
Formation energy without anion corrections: 2.04 eV per atom

Cell lengths 3.831, 3.831, 4.102 Å; angles 90.00, 90.00, 90.00 degrees
Sites, in units of the cell vectors:
Rh 0.000 0.000 0.000
C 0.500 0.500 0.500
N 0.000 0.500 0.000
N 0.500 0.000 0.000
F 0.000 0.000 0.500